[1]
Density functional theory data (PBE) for an optimized crystal structure of HfMg3Se.

Calculated values
D(E_F): 2.480 states/eV per atom
Density: 4.33 Mg/m³
Offset from the most stable computed form: 0.00 eV per formula unit

Geometry as CIF:
```
data_HfMg3Se
_space_group_name_H-M_alt 'P m -3 m'
_space_group_IT_number 221
_space_group_name_Hall '-P 4 2 3'
_cell_length_a 5.0208
_cell_length_b 5.0208
_cell_length_c 5.0208
_cell_angle_alpha 90.00
_cell_angle_beta 90.00
_cell_angle_gamma 90.00
loop_
_atom_site_label
_atom_site_type_symbol
_atom_site_fract_x
_atom_site_fract_y
_atom_site_fract_z
Hf1 Hf 0.0000 0.0000 0.0000
Mg1 Mg 0.0000 0.5000 0.5000
Se1 Se 0.5000 0.5000 0.5000
```

[2]
Density functional theory data (PBE) for an optimized crystal structure of PrAs2Au4.

Calculated values
D(E_F): 0.362 states/eV per atom
Energy of formation: -0.369 eV per atom
Density: 12.34 Mg/m³

Geometry as CIF:
```
data_PrAs2Au4
_space_group_name_H-M_alt 'P 42/m n m'
_space_group_IT_number 136
_space_group_name_Hall '-P 4n 2n'
_cell_length_a 8.0822
_cell_length_b 8.0822
_cell_length_c 4.4443
_cell_angle_alpha 90.00
_cell_angle_beta 90.00
_cell_angle_gamma 90.00
loop_
_atom_site_label
_atom_site_type_symbol
_atom_site_fract_x
_atom_site_fract_y
_atom_site_fract_z
Pr1 Pr 0.0000 0.0000 0.0000
As1 As 0.2166 0.2166 0.5000
Au1 Au 0.0850 0.6637 0.5000
```

Q: D(E_F) of number 2 (PrAs2Au4)?
A: 0.362 states/eV per atom

Copy entry 2 word for word.
Density functional theory data (PBE) for an optimized crystal structure of PrAs2Au4.

Calculated values
D(E_F): 0.362 states/eV per atom
Energy of formation: -0.369 eV per atom
Density: 12.34 Mg/m³

Geometry as CIF:
```
data_PrAs2Au4
_space_group_name_H-M_alt 'P 42/m n m'
_space_group_IT_number 136
_space_group_name_Hall '-P 4n 2n'
_cell_length_a 8.0822
_cell_length_b 8.0822
_cell_length_c 4.4443
_cell_angle_alpha 90.00
_cell_angle_beta 90.00
_cell_angle_gamma 90.00
loop_
_atom_site_label
_atom_site_type_symbol
_atom_site_fract_x
_atom_site_fract_y
_atom_site_fract_z
Pr1 Pr 0.0000 0.0000 0.0000
As1 As 0.2166 0.2166 0.5000
Au1 Au 0.0850 0.6637 0.5000
```

Q: Which formula does entry 1 have?
A: HfMg3Se

What did the first record say?
Density functional theory data (PBE) for an optimized crystal structure of HfMg3Se.

Calculated values
D(E_F): 2.480 states/eV per atom
Density: 4.33 Mg/m³
Offset from the most stable computed form: 0.00 eV per formula unit

Geometry as CIF:
```
data_HfMg3Se
_space_group_name_H-M_alt 'P m -3 m'
_space_group_IT_number 221
_space_group_name_Hall '-P 4 2 3'
_cell_length_a 5.0208
_cell_length_b 5.0208
_cell_length_c 5.0208
_cell_angle_alpha 90.00
_cell_angle_beta 90.00
_cell_angle_gamma 90.00
loop_
_atom_site_label
_atom_site_type_symbol
_atom_site_fract_x
_atom_site_fract_y
_atom_site_fract_z
Hf1 Hf 0.0000 0.0000 0.0000
Mg1 Mg 0.0000 0.5000 0.5000
Se1 Se 0.5000 0.5000 0.5000
```